[1]
SCAN Ba2PuMnO6, single point on PBEsol structure; M_tot = 1.0 μB/cell; DOS(E_F) = 0.57 states/eV per atom; final energy = -2.013 Ry per atom; energy relative to the elements, uncorrected = -2.90 eV/atom
1.0
5.781 0.000 0.000
2.890 5.006 0.000
2.890 1.669 4.720
O Mn Ba Pu
6 1 2 1
direct
0.736 0.264 0.264
0.736 0.736 0.264
0.264 0.264 0.736
0.264 0.736 0.264
0.736 0.264 0.736
0.264 0.736 0.736
0.500 0.500 0.500
0.750 0.750 0.750
0.250 0.250 0.250
0.000 0.000 0.000

---

[2]
SCAN RbBaMnO4, single point on PBEsol structure; M_tot = 8.0 μB/cell; DOS(E_F) = 0.00 states/eV per atom; final energy = -1.261 Ry per atom; energy relative to the elements, uncorrected = -2.38 eV/atom
1.0
5.839 0.000 0.000
0.000 7.867 0.000
0.000 0.000 10.263
Mn O Rb Ba
4 16 4 4
direct
0.750 0.730 0.917
0.250 0.770 0.417
0.250 0.270 0.083
0.750 0.230 0.583
0.250 0.484 0.080
0.011 0.203 0.161
0.750 0.304 0.427
0.750 0.016 0.580
0.989 0.797 0.839
0.489 0.703 0.339
0.250 0.984 0.420
0.011 0.703 0.339
0.989 0.297 0.661
0.750 0.804 0.073
0.511 0.297 0.661
0.250 0.196 0.927
0.750 0.516 0.920
0.511 0.797 0.839
0.489 0.203 0.161
0.250 0.696 0.573
0.750 0.655 0.584
0.250 0.845 0.084
0.750 0.155 0.916
0.250 0.345 0.416
0.750 0.494 0.192
0.250 0.506 0.808
0.750 0.994 0.308
0.250 0.006 0.692

---

[3]
SCAN Ba2Mn2Sb2O, single point on PBEsol structure; M_tot = 19.9 μB/cell; DOS(E_F) = 0.07 states/eV per atom; final energy = -2.160 Ry per atom; energy relative to the elements, uncorrected = -1.34 eV/atom
1.0
-2.160 -4.109 -0.482
3.455 1.175 -2.909
13.046 -8.283 12.148
Ba O Sb Mn
4 2 4 4
direct
0.000 0.000 0.750
0.000 0.000 0.500
0.000 0.000 0.250
0.000 0.000 0.000
0.667 0.333 0.750
0.333 0.667 0.250
0.667 0.333 0.386
0.667 0.333 0.114
0.333 0.667 0.614
0.333 0.667 0.886
0.333 0.667 0.351
0.667 0.333 0.649
0.667 0.333 0.851
0.333 0.667 0.149